No. 1
# PuThRu, optimized geometry, DFT PBE
data_PuThRu
_chemical_formula_sum 'Pu1 Th1 Ru1'
_cell_length_a 4.782
_cell_length_b 4.782
_cell_length_c 3.424
_cell_angle_alpha 90.00
_cell_angle_beta 90.00
_cell_angle_gamma 120.00
_space_group_name_H-M_alt 'P 1'
_space_group_IT_number 1
loop_
_space_group_symop_operation_xyz
'x,y,z'
loop_
_atom_site_label
_atom_site_type_symbol
_atom_site_fract_x
_atom_site_fract_y
_atom_site_fract_z
Pu1 Pu 0.000 0.000 0.000
Th1 Th 0.667 0.333 0.621
Ru1 Ru 0.333 0.667 0.271
# Volume: 22.6 Å³/atom
# Energy of formation from the pure elements: -0.068 eV per atom
# Excess energy over the best structure of this formula in the dataset: 6.4 kJ/mol of atoms
# Total magnetic moment: 1.842 μB per atom

***

No. 2
# PuTiRu4, optimized geometry, DFT PBE
data_PuTiRu4
_chemical_formula_sum 'Pu1 Ti1 Ru4'
_cell_length_a 5.211
_cell_length_b 5.211
_cell_length_c 5.211
_cell_angle_alpha 60.00
_cell_angle_beta 60.00
_cell_angle_gamma 60.00
_space_group_name_H-M_alt 'P 1'
_space_group_IT_number 1
loop_
_space_group_symop_operation_xyz
'x,y,z'
loop_
_atom_site_label
_atom_site_type_symbol
_atom_site_fract_x
_atom_site_fract_y
_atom_site_fract_z
Pu1 Pu 0.000 0.000 0.000
Ti1 Ti 0.750 0.750 0.750
Ru1 Ru 0.375 0.375 0.375
Ru2 Ru 0.375 0.375 0.874
Ru3 Ru 0.375 0.874 0.375
Ru4 Ru 0.874 0.375 0.375
# Volume: 16.7 Å³/atom
# Energy of formation from the pure elements: -0.084 eV per atom
# Total magnetic moment: 0.717 μB per atom

***

No. 3
# PuTi2Ru, optimized geometry, DFT PBE
data_PuTi2Ru
_chemical_formula_sum 'Pu1 Ti2 Ru1'
_cell_length_a 4.666
_cell_length_b 4.666
_cell_length_c 3.071
_cell_angle_alpha 90.00
_cell_angle_beta 90.00
_cell_angle_gamma 90.00
_space_group_name_H-M_alt 'P 1'
_space_group_IT_number 1
loop_
_space_group_symop_operation_xyz
'x,y,z'
loop_
_atom_site_label
_atom_site_type_symbol
_atom_site_fract_x
_atom_site_fract_y
_atom_site_fract_z
Pu1 Pu 0.000 0.000 0.000
Ti1 Ti 0.000 0.500 0.500
Ti2 Ti 0.500 0.000 0.500
Ru1 Ru 0.500 0.500 0.000
# Volume: 16.7 Å³/atom
# Energy of formation from the pure elements: -0.070 eV per atom
# Excess energy over the best structure of this formula in the dataset: 20.1 kJ/mol of atoms
# Total magnetic moment: 1.281 μB per atom

***

Among the records above, which one has the highest volume?
PuThRu